# 1
18
Lattice="9.959 0.000 0.000 0.000 9.959 0.000 0.000 0.000 6.100" Properties=species:S:1:pos:R:3 comment="LaHo4Sn4 PBE-GGA relaxed" mass_density_g_cm3=7.0 dft_energy_ev_per_atom=-4.806 formation_energy_ev_per_atom=-0.445 vol_a3_per_cell=605.0 pbc="T T T"
La 2.490 2.490 1.525
La 7.469 7.469 4.575
Ho 1.040 6.393 0.874
Ho 1.413 8.919 3.924
Ho 3.566 6.019 3.924
Ho 3.940 8.546 0.874
Ho 6.019 1.413 5.226
Ho 6.393 3.940 2.176
Ho 8.546 1.040 2.176
Ho 8.919 3.566 5.226
Sn 0.457 6.005 4.002
Sn 1.026 9.502 0.952
Sn 3.954 5.437 0.952
Sn 4.522 8.933 4.002
Sn 5.437 1.026 2.098
Sn 6.005 4.522 5.148
Sn 8.933 0.457 5.148
Sn 9.502 3.954 2.098


# 2
12
Lattice="3.085 -7.713 0.000 3.085 7.713 0.000 -1.863 0.000 7.178" Properties=species:S:1:pos:R:3 comment="LaHo5Sn6 PBE-GGA relaxed" mass_density_g_cm3=8.1 dft_energy_ev_per_atom=-4.934 formation_energy_ev_per_atom=-0.615 vol_a3_per_cell=341.7 pbc="T T T"
La 0.000 0.000 0.000
Ho -0.931 0.000 3.589
Ho 3.085 2.701 0.000
Ho 2.154 2.362 3.589
Ho 2.154 -2.362 3.589
Ho 3.085 -2.701 0.000
Sn 2.516 5.059 1.954
Sn 1.792 5.059 5.225
Sn 1.535 0.000 5.530
Sn 2.773 0.000 1.649
Sn 2.516 -5.059 1.954
Sn 1.792 -5.059 5.225